No. 1
An optimized crystal structure of ThZrB4, computed with PBE-GGA.

```
ThZrB4
1.0
3.2397 0.0000 0.0000
-1.6199 2.8057 0.0000
0.0000 0.0000 7.8153
Th Zr B
1 1 4
Direct
0.0000 0.0000 0.0000
0.0000 0.0000 0.5000
0.3333 0.6667 0.2766
0.3333 0.6667 0.7234
0.6667 0.3333 0.2766
0.6667 0.3333 0.7234
```

Values from the calculation:
space group	P6/mmm
DFT total energy	-7.829	eV per atom
total magnetic moment	0.0	μB/f.u.

***

No. 2
An optimized crystal structure of TmTlB, computed with PBE-GGA.

```
TmTlB
1.0
6.5385 0.0000 0.0000
0.0000 6.5385 0.0000
0.0000 0.0000 6.5385
Tm Tl B
4 4 4
Direct
0.0000 0.0000 0.0000
0.0000 0.5000 0.5000
0.5000 0.0000 0.5000
0.5000 0.5000 0.0000
0.2500 0.2500 0.2500
0.2500 0.7500 0.7500
0.7500 0.2500 0.7500
0.7500 0.7500 0.2500
0.2500 0.2500 0.7500
0.2500 0.7500 0.2500
0.7500 0.2500 0.2500
0.7500 0.7500 0.7500
```

Values from the calculation:
space group	F-43m
relative energy among the computed polymorphs	617	meV per atom
total magnetic moment	0.0	μB/f.u.

***

No. 3
An optimized crystal structure of TmTlB, computed with PBE-GGA.

```
TmTlB
1.0
6.1741 0.0000 0.0000
0.0000 6.1741 0.0000
0.0000 0.0000 6.1741
Tm Tl B
4 4 4
Direct
0.0000 0.0000 0.0000
0.0000 0.5000 0.5000
0.5000 0.0000 0.5000
0.5000 0.5000 0.0000
0.0000 0.0000 0.5000
0.0000 0.5000 0.0000
0.5000 0.0000 0.0000
0.5000 0.5000 0.5000
0.2500 0.2500 0.7500
0.2500 0.7500 0.2500
0.7500 0.2500 0.2500
0.7500 0.7500 0.7500
```

Values from the calculation:
space group	F-43m
relative energy among the computed polymorphs	0	meV per atom
total magnetic moment	0.0	μB/f.u.

***

No. 4
An optimized crystal structure of UTlB, computed with PBE-GGA.

```
UTlB
1.0
6.6351 0.0000 0.0000
0.0000 6.6351 0.0000
0.0000 0.0000 6.6351
U Tl B
4 4 4
Direct
0.0000 0.0000 0.0000
0.0000 0.5000 0.5000
0.5000 0.0000 0.5000
0.5000 0.5000 0.0000
0.2500 0.2500 0.7500
0.2500 0.7500 0.2500
0.7500 0.2500 0.2500
0.7500 0.7500 0.7500
0.2500 0.2500 0.2500
0.2500 0.7500 0.7500
0.7500 0.2500 0.7500
0.7500 0.7500 0.2500
```

Values from the calculation:
space group	F-43m
relative energy among the computed polymorphs	642	meV per atom
total magnetic moment	2.3	μB/f.u.

***

No. 5
An optimized crystal structure of UTlB, computed with PBE-GGA.

```
UTlB
1.0
6.2748 0.0000 0.0000
0.0000 6.2748 0.0000
0.0000 0.0000 6.2748
U Tl B
4 4 4
Direct
0.0000 0.0000 0.0000
0.0000 0.5000 0.5000
0.5000 0.0000 0.5000
0.5000 0.5000 0.0000
0.0000 0.0000 0.5000
0.0000 0.5000 0.0000
0.5000 0.0000 0.0000
0.5000 0.5000 0.5000
0.2500 0.2500 0.7500
0.2500 0.7500 0.2500
0.7500 0.2500 0.2500
0.7500 0.7500 0.7500
```

Values from the calculation:
space group	F-43m
relative energy among the computed polymorphs	0	meV per atom
total magnetic moment	3.3	μB/f.u.

***

No. 6
An optimized crystal structure of UTlB, computed with PBE-GGA.

```
UTlB
1.0
6.6297 0.0000 0.0000
0.0000 6.6297 0.0000
0.0000 0.0000 6.6297
U Tl B
4 4 4
Direct
0.0000 0.0000 0.0000
0.0000 0.5000 0.5000
0.5000 0.0000 0.5000
0.5000 0.5000 0.0000
0.2500 0.2500 0.7500
0.2500 0.7500 0.2500
0.7500 0.2500 0.2500
0.7500 0.7500 0.7500
0.0000 0.0000 0.5000
0.0000 0.5000 0.0000
0.5000 0.0000 0.0000
0.5000 0.5000 0.5000
```

Values from the calculation:
space group	F-43m
relative energy among the computed polymorphs	932	meV per atom
total magnetic moment	3.1	μB/f.u.

***

No. 7
An optimized crystal structure of TlB2W2, computed with PBE-GGA.

```
TlB2W2
1.0
3.0416 0.0000 0.0000
0.0000 14.5035 0.0000
0.0000 0.0000 3.0637
Tl B W
2 4 4
Direct
0.0000 0.0000 0.0000
0.5000 0.5000 0.0000
0.0000 0.2162 0.0000
0.0000 0.7838 0.0000
0.5000 0.2838 0.0000
0.5000 0.7162 0.0000
0.0000 0.3367 0.5000
0.0000 0.6633 0.5000
0.5000 0.1633 0.5000
0.5000 0.8367 0.5000
```

Values from the calculation:
space group	Cmmm
DFT total energy	-8.124	eV per atom
total magnetic moment	0.0	μB/f.u.

***

No. 8
An optimized crystal structure of TlB4W, computed with PBE-GGA.

```
TlB4W
1.0
3.0132 0.0000 0.0000
-1.5066 2.6095 0.0000
0.0000 0.0000 9.1366
Tl B W
1 4 1
Direct
0.0000 0.0000 0.0000
0.3333 0.6667 0.3197
0.3333 0.6667 0.6803
0.6667 0.3333 0.3197
0.6667 0.3333 0.6803
0.0000 0.0000 0.5000
```

Values from the calculation:
space group	P6/mmm
relative energy among the computed polymorphs	0	meV per atom
total magnetic moment	0.0	μB/f.u.

***

No. 9
An optimized crystal structure of TlB4W, computed with PBE-GGA.

```
TlB4W
1.0
3.0601 0.0000 0.0000
0.0000 5.2965 0.0000
0.0000 0.0000 7.7199
Tl B W
2 8 2
Direct
0.0000 0.0000 0.0000
0.5000 0.5000 0.5000
0.0000 0.3370 0.2448
0.0000 0.3370 0.7552
0.0000 0.6630 0.2448
0.0000 0.6630 0.7552
0.5000 0.1630 0.2552
0.5000 0.1630 0.7448
0.5000 0.8370 0.2552
0.5000 0.8370 0.7448
0.0000 0.0000 0.5000
0.5000 0.5000 0.0000
```

Values from the calculation:
space group	Immm
relative energy among the computed polymorphs	577	meV per atom
total magnetic moment	0.0	μB/f.u.

***

No. 10
An optimized crystal structure of TlZnB4, computed with PBE-GGA.

```
TlZnB4
1.0
3.0669 0.0000 0.0000
-1.5335 2.6561 0.0000
0.0000 0.0000 8.7323
Tl Zn B
1 1 4
Direct
0.0000 0.0000 0.0000
0.0000 0.0000 0.5000
0.3333 0.6667 0.3108
0.3333 0.6667 0.6892
0.6667 0.3333 0.3108
0.6667 0.3333 0.6892
```

Values from the calculation:
space group	P6/mmm
relative energy among the computed polymorphs	0	meV per atom

***

No. 11
An optimized crystal structure of TlZnB4, computed with PBE-GGA.

```
TlZnB4
1.0
3.0855 0.0000 0.0000
0.0000 5.3316 0.0000
0.0000 0.0000 8.3505
Tl Zn B
2 2 8
Direct
0.0000 0.0000 0.0000
0.5000 0.5000 0.5000
0.0000 0.0000 0.5000
0.5000 0.5000 0.0000
0.0000 0.3336 0.2408
0.0000 0.3336 0.7592
0.0000 0.6664 0.2408
0.0000 0.6664 0.7592
0.5000 0.1664 0.2592
0.5000 0.1664 0.7408
0.5000 0.8336 0.2592
0.5000 0.8336 0.7408
```

Values from the calculation:
space group	Immm
relative energy among the computed polymorphs	167	meV per atom

***

No. 12
An optimized crystal structure of ZrTlB, computed with PBE-GGA.

```
ZrTlB
1.0
5.9813 0.0000 0.0000
0.0000 5.9813 0.0000
0.0000 0.0000 5.9813
Zr Tl B
4 4 4
Direct
0.0000 0.0000 0.0000
0.0000 0.5000 0.5000
0.5000 0.0000 0.5000
0.5000 0.5000 0.0000
0.0000 0.0000 0.5000
0.0000 0.5000 0.0000
0.5000 0.0000 0.0000
0.5000 0.5000 0.5000
0.2500 0.2500 0.7500
0.2500 0.7500 0.2500
0.7500 0.2500 0.2500
0.7500 0.7500 0.7500
```

Values from the calculation:
space group	F-43m
relative energy among the computed polymorphs	0	meV per atom
total magnetic moment	0.0	μB/f.u.

***

No. 13
An optimized crystal structure of Zr2TlB, computed with PBE-GGA.

```
Zr2TlB
1.0
3.4653 0.0000 0.0000
-1.7327 3.0011 0.0000
0.0000 0.0000 15.4068
Zr Tl B
4 2 2
Direct
0.3333 0.6667 0.0840
0.3333 0.6667 0.4160
0.6667 0.3333 0.5840
0.6667 0.3333 0.9160
0.3333 0.6667 0.7500
0.6667 0.3333 0.2500
0.0000 0.0000 0.0000
0.0000 0.0000 0.5000
```

Values from the calculation:
space group	P6_3/mmc
DFT total energy	-6.924	eV per atom
total magnetic moment	0.0	μB/f.u.

***

No. 14
An optimized crystal structure of Zr2TlB2, computed with PBE-GGA.

```
Zr2TlB2
1.0
3.1527 0.0000 0.0000
0.0000 14.7214 0.0000
0.0000 0.0000 3.4041
Zr Tl B
4 2 4
Direct
0.0000 0.1543 0.0000
0.0000 0.8457 0.0000
0.5000 0.3457 0.0000
0.5000 0.6543 0.0000
0.0000 0.5000 0.5000
0.5000 0.0000 0.5000
0.0000 0.2729 0.5000
0.0000 0.7271 0.5000
0.5000 0.2271 0.5000
0.5000 0.7729 0.5000
```

Values from the calculation:
space group	Cmmm
DFT total energy	-7.141	eV per atom
total magnetic moment	0.0	μB/f.u.

***

No. 15
An optimized crystal structure of TmB, computed with PBE-GGA.

```
TmB
1.0
3.3723 0.0000 0.0000
-1.6862 2.9205 0.0000
0.0000 0.0000 3.6374
Tm B
1 1
Direct
0.0000 0.0000 0.0000
0.3333 0.6667 0.5000
```

Values from the calculation:
space group	P-6m2
relative energy among the computed polymorphs	210	meV per atom
total magnetic moment	0.0	μB/f.u.

***

No. 16
An optimized crystal structure of TmB, computed with PBE-GGA.

```
TmB
1.0
5.6576 0.0000 0.0000
0.0000 5.6576 0.0000
0.0000 0.0000 5.6576
Tm B
4 4
Direct
0.0000 0.0000 0.0000
0.0000 0.5000 0.5000
0.5000 0.0000 0.5000
0.5000 0.5000 0.0000
0.2500 0.2500 0.2500
0.2500 0.7500 0.7500
0.7500 0.2500 0.7500
0.7500 0.7500 0.2500
```

Values from the calculation:
space group	F-43m
relative energy among the computed polymorphs	623	meV per atom
total magnetic moment	0.1	μB/f.u.

***

No. 17
An optimized crystal structure of TmB4, computed with PBE-GGA.

```
TmB4
1.0
7.0409 0.0000 0.0000
0.0000 7.0409 0.0000
0.0000 0.0000 3.9796
Tm B
4 16
Direct
0.1825 0.3175 0.0000
0.3175 0.8175 0.0000
0.6825 0.1825 0.0000
0.8175 0.6825 0.0000
0.0000 0.0000 0.2027
0.0000 0.0000 0.7973
0.0383 0.8230 0.5000
0.0867 0.5867 0.5000
0.1770 0.0383 0.5000
0.3230 0.5383 0.5000
0.4133 0.0867 0.5000
0.4617 0.3230 0.5000
0.5000 0.5000 0.2027
0.5000 0.5000 0.7973
0.5383 0.6770 0.5000
0.5867 0.9133 0.5000
0.6770 0.4617 0.5000
0.8230 0.9617 0.5000
0.9133 0.4133 0.5000
0.9617 0.1770 0.5000
```

Values from the calculation:
space group	P4/mbm
DFT total energy	-6.817	eV per atom
total magnetic moment	0.0	μB/f.u.

***

No. 18
An optimized crystal structure of Tm4B7, computed with PBE-GGA.

```
Tm4B7
1.0
3.6877 0.0000 0.0000
0.0603 3.7054 0.0000
1.3595 0.6060 11.5551
Tm B
4 7
Direct
0.0583 0.0240 0.3456
0.3830 0.4508 0.8626
0.6170 0.5492 0.1374
0.9417 0.9760 0.6544
0.0000 0.0000 0.0000
0.1131 0.0567 0.1248
0.4524 0.4802 0.6274
0.4995 0.2523 0.4997
0.5005 0.7477 0.5003
0.5476 0.5198 0.3726
0.8869 0.9433 0.8752
```

Values from the calculation:
space group	P-1
DFT total energy	-6.118	eV per atom
total magnetic moment	0.0	μB/f.u.

***

No. 19
An optimized crystal structure of Tm2B, computed with PBE-GGA.

```
Tm2B
1.0
0.0000 5.4465 5.4465
5.4465 0.0000 5.4465
5.4465 5.4465 0.0000
Tm B
4 2
Direct
0.0000 0.0000 0.0000
0.0000 0.0000 0.5000
0.0000 0.5000 0.0000
0.5000 0.0000 0.0000
0.1250 0.1250 0.1250
0.8750 0.8750 0.8750
```

Values from the calculation:
space group	Fd-3m
relative energy among the computed polymorphs	0	meV per atom
total magnetic moment	0.0	μB/f.u.

***

No. 20
An optimized crystal structure of TmB, computed with PBE-GGA.

```
TmB
1.0
5.2444 0.0000 0.0000
0.0000 5.2444 0.0000
0.0000 0.0000 5.2444
Tm B
4 4
Direct
0.0000 0.0000 0.0000
0.0000 0.5000 0.5000
0.5000 0.0000 0.5000
0.5000 0.5000 0.0000
0.0000 0.0000 0.5000
0.0000 0.5000 0.0000
0.5000 0.0000 0.0000
0.5000 0.5000 0.5000
```

Values from the calculation:
space group	Fm-3m
relative energy among the computed polymorphs	0	meV per atom
total magnetic moment	0.5	μB/f.u.

***

Number 1: mass density 8.57 g/cm3. Number 2: mass density 9.13 g/cm3. Number 3: mass density 10.84 g/cm3. Number 4: mass density 10.31 g/cm3. Number 5: mass density 12.18 g/cm3. Number 6: mass density 10.33 g/cm3. Number 7: mass density 14.59 g/cm3. Number 8: mass density 9.97 g/cm3. Number 9: mass density 11.45 g/cm3. Number 10: mass density 7.31 g/cm3. Number 11: mass density 7.57 g/cm3. Number 12: mass density 9.51 g/cm3. Number 13: mass density 8.24 g/cm3. Number 14: mass density 8.59 g/cm3. Number 15: mass density 8.33 g/cm3. Number 16: mass density 6.59 g/cm3. Number 17: mass density 7.14 g/cm3. Number 18: mass density 7.90 g/cm3. Number 19: mass density 3.58 g/cm3. Number 20: mass density 8.28 g/cm3.